Density functional theory data (GGA-PBE) for crystalline OsPbAu2 at its relaxed geometry.

Cell lengths 5.098, 5.098, 2.959 Å; angles 90.00, 90.00, 90.00 degrees
Positions (direct):
1 Au 0.500 0.500 0.000
2 Au 0.000 0.000 0.000
3 Os 0.500 0.000 0.500
4 Pb 0.000 0.500 0.500

Values from the calculation:
E_tot in eV per atom: -4.683
Formation energy from the elements in eV per atom: 0.691
Crystal system: tetragonal